The following is a DFT calculation (GGA-PBE) of a relaxed AcPd10Pt2 crystal.

Unit cell a=5.322 b=7.045 c=7.026 alpha=81.78 beta=67.75 gamma=67.81
Atoms (fractional coordinates):
Pd1 0.723 0.777 0.776
Pd2 0.000 0.648 0.351
Pd3 0.649 0.352 0.351
Pd4 0.500 0.000 0.500
Pd5 0.500 0.223 0.776
Pd6 0.000 0.000 0.500
Pd7 0.000 0.352 0.649
Pt1 0.500 0.500 0.000
Pt2 0.000 0.500 0.000
Pd8 0.351 0.648 0.649
Pd9 0.500 0.777 0.224
Pd10 0.277 0.223 0.224
Ac1 0.000 0.000 0.000

## Properties
DFT total energy = -5.524 eV/atom
ΔE_f = -357 kJ/mol of formula units
total magnetization = 0.000 μB/f.u.
SG = Fmmm (69)
DOS(E_F) = 1.367 states/eV per atom